# K2Rb4Fe2O5 (GGA+U, optimized geometry)
data_K2Rb4Fe2O5
_chemical_formula_sum 'K2 Rb4 Fe2 O5'
_space_group_name_H-M_alt 'P 1'
_space_group_IT_number 1
_cell_length_a 6.9527
_cell_length_b 6.9527
_cell_length_c 6.9784
_cell_angle_alpha 89.99
_cell_angle_beta 89.99
_cell_angle_gamma 119.53
loop_
_space_group_symop_operation_xyz
'x,y,z'
loop_
_atom_site_label
_atom_site_fract_x
_atom_site_fract_y
_atom_site_fract_z
Rb1 0.3346 0.3346 0.6840
Rb2 0.6654 0.6654 0.3160
Rb3 0.2413 0.7587 0.0000
Rb4 0.7587 0.2413 0.0000
K1 0.2232 0.7768 0.5000
K2 0.7768 0.2232 0.5000
O1 0.1590 0.4335 0.2876
O2 0.5665 0.8410 0.7124
O3 0.8410 0.5665 0.7124
O4 0.4335 0.1590 0.2876
O5 0.0000 0.0000 0.0000
Fe1 0.1986 0.1986 0.1954
Fe2 0.8014 0.8014 0.8046
# Magnetic moment in μB per atom: 0.61
# E_tot in eV per atom: -4.509